The following is a DFT calculation (PBE) of a relaxed CrPSe crystal.

Results
- Density: 5.1 g/cm3
- Electronic total energy: -6.452 eV per atom
- DOS(E_F): 3.31 states/eV per cell
- Uncorrected formation energy: -279.7 meV per atom
- SG: No. 2

Cell: 2.9993 4.1978 9.1532 Å, 79.34 89.71 69.07°
Closest atoms and distances in Å follow each position.
Fractional positions:
Se1 0.7301 0.5498 0.1800  2 Cr 2.41
P1 0.1306 0.7409 0.4371  5 Cr 2.33-2.44, 3 P 2.51-2.52
Cr1 0.3966 0.2113 0.3579  5 P 2.33-2.44, 2 Se 2.41
P2 0.8694 0.2591 0.5629  5 Cr 2.33-2.44, 3 P 2.51-2.52
Se2 0.2699 0.4502 0.8200  2 Cr 2.41
Cr2 0.6034 0.7887 0.6421  5 P 2.33-2.44, 2 Se 2.41